Compound: K2Ta3WO12
Source: the Alexandria database
Functional: PBE with a Hubbard U
Structure: optimized geometry

Output
For the raw total energy, the calculation gives -8.260 eV/atom. Its density is 5.68 g/cm³.

Geometry as extended XYZ:
```
18
Lattice="3.725 2.151 6.067 -3.725 2.151 6.067 0.000 -4.301 6.067" Properties=species:S:1:pos:R:3 pbc="T T T"
K 0.000 0.000 2.180
K 0.000 0.000 16.022
Ta -1.863 -1.075 6.067
Ta -1.863 1.075 12.135
Ta 0.000 2.151 6.067
W 0.000 0.000 9.101
O 0.000 -1.626 5.662
O -1.408 0.813 5.662
O -1.372 -0.792 7.984
O -1.408 -0.813 12.540
O 0.000 -1.584 10.218
O -1.372 0.792 10.218
O 1.372 -0.792 7.984
O 0.000 1.584 7.984
O 1.408 0.813 5.662
O 1.372 0.792 10.218
O 1.408 -0.813 12.540
O 0.000 1.626 12.540
```